[1]
Below is crystalline K2NbS7 at its relaxed geometry, with properties calculated at the PBE level.

abc: 8.0237 12.7832 22.4207
angles: 79.76 90.00 90.00
With the nearest neighbours (Å) after each atom.
Sites, in units of the cell vectors:
K: 0.5606 0.6561 0.5538  6 S 3.18-3.54
K: 0.0606 0.8439 0.4462  6 S 3.18-3.54
K: 0.9206 0.9953 0.1647  8 S 3.29-3.66
K: 0.0794 0.0047 0.8353  8 S 3.29-3.66
K: 0.5220 0.0768 0.3054  8 S 3.30-3.68
K: 0.3510 0.1436 0.9787  6 S 3.26-3.57
K: 0.8510 0.3564 0.0213  6 S 3.26-3.57
K: 0.4394 0.3439 0.4462  6 S 3.18-3.54
K: 0.5794 0.4953 0.1647  8 S 3.29-3.66
K: 0.9394 0.1561 0.5538  6 S 3.18-3.54
K: 0.6490 0.8564 0.0213  6 S 3.26-3.57
K: 0.0220 0.4232 0.6946  8 S 3.30-3.68
K: 0.1490 0.6436 0.9787  6 S 3.26-3.57
K: 0.4206 0.5047 0.8353  8 S 3.29-3.66
K: 0.4780 0.9232 0.6946  8 S 3.30-3.68
K: 0.9780 0.5768 0.3054  8 S 3.30-3.68
Nb: 0.4665 0.8232 0.2150  3 S 2.22-2.48
Nb: 0.5335 0.1768 0.7850  3 S 2.22-2.48
Nb: 0.9838 0.8294 0.6307  5 S 2.24-2.50
Nb: 0.0162 0.1706 0.3693  5 S 2.24-2.50
Nb: 0.0335 0.3232 0.2150  3 S 2.22-2.48
Nb: 0.4838 0.6706 0.3693  5 S 2.24-2.50
Nb: 0.5162 0.3294 0.6307  5 S 2.24-2.50
Nb: 0.9665 0.6768 0.7850  3 S 2.22-2.48
S: 0.6220 0.8155 0.4111  1 S 2.08
S: 0.2660 0.2629 0.8048  1 S 2.09
S: 0.7340 0.7371 0.1952  1 S 2.09
S: 0.8516 0.2381 0.9030  2 S 2.07-2.09
S: 0.2917 0.6069 0.4389  1 Nb 2.24
S: 0.1296 0.9051 0.0377  2 S 2.06-2.07
S: 0.3780 0.1845 0.5889  1 S 2.08
S: 0.2720 0.9006 0.9616  1 S 2.06
S: 0.8907 0.8968 0.7209  1 S 2.09
S: 0.6484 0.7381 0.9030  2 S 2.07-2.09
S: 0.1220 0.6845 0.5889  1 S 2.08
S: 0.6774 0.1643 0.6851  1 S 2.08
S: 0.7511 0.1710 0.4279  1 S 2.08
S: 0.7083 0.3931 0.5611  1 Nb 2.24
S: 0.2083 0.1069 0.4389  1 Nb 2.24
S: 0.2169 0.7109 0.7217  1 S 2.09
S: 0.7831 0.2891 0.2783  1 S 2.09
S: 0.7720 0.5994 0.0384  1 S 2.06
S: 0.8704 0.0949 0.9623  2 S 2.06-2.07
S: 0.8298 0.2009 0.7537  1 S 2.08
S: 0.2511 0.3290 0.5721  1 S 2.08
S: 0.3226 0.8357 0.3149  1 S 2.08
S: 0.0131 0.4934 0.1730  1 Nb 2.22
S: 0.6296 0.5949 0.9623  2 S 2.06-2.07
S: 0.2280 0.4006 0.9616  1 S 2.06
S: 0.2831 0.2109 0.7217  1 S 2.09
S: 0.3704 0.4051 0.0377  2 S 2.06-2.07
S: 0.6093 0.3968 0.7209  1 S 2.09
S: 0.1702 0.7991 0.2463  1 S 2.08
S: 0.1774 0.3357 0.3149  1 S 2.08
S: 0.9869 0.5066 0.8270  1 Nb 2.22
S: 0.1484 0.7619 0.0970  2 S 2.07-2.09
S: 0.3949 0.7365 0.1264  1 S 2.09
S: 0.3907 0.6032 0.2791  1 S 2.09
S: 0.5131 0.0066 0.8270  1 Nb 2.22
S: 0.0808 0.9847 0.6720  1 S 2.09
S: 0.7489 0.6710 0.4279  1 S 2.08
S: 0.4869 0.9934 0.1730  1 Nb 2.22
S: 0.8226 0.6643 0.6851  1 S 2.08
S: 0.9192 0.0153 0.3280  1 S 2.09
S: 0.3298 0.2991 0.2463  1 S 2.08
S: 0.6702 0.7009 0.7537  1 S 2.08
S: 0.1051 0.2365 0.1264  1 S 2.09
S: 0.8780 0.3155 0.4111  1 S 2.08
S: 0.2489 0.8290 0.5721  1 S 2.08
S: 0.5808 0.5153 0.3280  1 S 2.09
S: 0.6051 0.2635 0.8736  1 S 2.09
S: 0.3516 0.2619 0.0970  2 S 2.07-2.09
S: 0.7660 0.2371 0.1952  1 S 2.09
S: 0.4192 0.4847 0.6720  1 S 2.09
S: 0.8949 0.7635 0.8736  1 S 2.09
S: 0.2340 0.7629 0.8048  1 S 2.09
S: 0.1093 0.1032 0.2791  1 S 2.09
S: 0.7169 0.7891 0.2783  1 S 2.09
S: 0.7917 0.8931 0.5611  1 Nb 2.24
S: 0.7280 0.0994 0.0384  1 S 2.06

Calculated values
Its symmetry is P2_1/c, No. 14.

=====

[2]
Below is crystalline K8NbS6 at its relaxed geometry, with properties calculated at the PBE level.

abc: 8.5247 9.6126 12.0822
angles: 90.00 90.00 90.00
With the nearest neighbours (Å) after each atom.
Sites, in units of the cell vectors:
K: 0.3568 0.0000 0.0125  4 S 3.15-3.31
K: 0.6432 0.5000 0.5125  4 S 3.15-3.31
K: 0.8283 0.8184 0.1518  5 S 3.10-3.41, 1 K 3.23
K: 0.1717 0.6816 0.6518  5 S 3.10-3.41, 1 K 3.23
K: 0.1717 0.3184 0.6518  5 S 3.10-3.41, 1 K 3.23
K: 0.8283 0.1816 0.1518  5 S 3.10-3.41, 1 K 3.23
K: 0.5604 0.8052 0.7737  4 S 3.14-3.29
K: 0.4396 0.6948 0.2737  4 S 3.14-3.29
K: 0.4396 0.3051 0.2737  4 S 3.14-3.29
K: 0.5604 0.1948 0.7737  4 S 3.14-3.29
K: 0.9883 0.8266 0.8550  4 S 3.09-3.31, 2 K 3.23-3.33
K: 0.0117 0.6734 0.3550  4 S 3.09-3.31, 2 K 3.23-3.33
K: 0.0117 0.3266 0.3550  4 S 3.09-3.31, 2 K 3.23-3.33
K: 0.9883 0.1734 0.8550  4 S 3.09-3.31, 2 K 3.23-3.33
K: 0.3169 0.0000 0.4963  3 S 3.05-3.13
K: 0.6831 0.5000 0.9963  3 S 3.05-3.13
Nb: 0.8049 0.0000 0.4595  4 S 2.36-2.39
Nb: 0.1951 0.5000 0.9595  4 S 2.36-2.39
S: 0.7174 0.0000 0.9552  7 K 3.09-3.18
S: 0.2826 0.5000 0.4552  7 K 3.09-3.18
S: 0.2672 0.0000 0.7459  8 K 3.05-3.36
S: 0.7328 0.5000 0.2459  8 K 3.05-3.36
S: 0.0261 0.0000 0.3387  1 Nb 2.39
S: 0.9739 0.5000 0.8387  1 Nb 2.39
S: 0.5949 0.0000 0.3295  1 Nb 2.38
S: 0.4051 0.5000 0.8295  1 Nb 2.38
S: 0.1885 0.7036 0.0687  1 Nb 2.36
S: 0.8115 0.7964 0.5687  1 Nb 2.36
S: 0.8115 0.2036 0.5687  1 Nb 2.36
S: 0.1885 0.2964 0.0687  1 Nb 2.36

Calculated values
Its symmetry is Pmn2_1, No. 31.

=====

[3]
Below is crystalline K4NbS4 at its relaxed geometry, with properties calculated at the PBE level.

abc: 8.2074 8.2074 8.2074
angles: 81.02 125.31 125.31
With the nearest neighbours (Å) after each atom.
Sites, in units of the cell vectors:
K: 0.5000 0.5000 0.0000  4 S 3.07
K: 0.5000 0.0000 0.5000  4 S 3.07
K: 0.0000 0.6969 0.6969  2 S 3.12
K: 0.0000 0.3031 0.3031  2 S 3.12
Nb: 0.0000 0.0000 0.0000  4 S 2.36
S: 0.6352 0.9249 0.9249  1 Nb 2.36
S: 0.0000 0.0751 0.7102  1 Nb 2.36
S: 0.3648 0.2898 0.2898  1 Nb 2.36
S: 0.0000 0.7102 0.0751  1 Nb 2.36

Calculated values
Its symmetry is I-42m, No. 121.

=====

[4]
Below is crystalline KNbS4 at its relaxed geometry, with properties calculated at the PBE level.

abc: 4.1052 4.1052 8.1812
angles: 90.00 90.00 90.00
With the nearest neighbours (Å) after each atom.
Sites, in units of the cell vectors:
K: 0.0000 0.0000 0.0000  8 S 3.25
Nb: 0.5000 0.5000 0.5000  8 S 2.59
S: 0.5000 0.0000 0.6925  2 Nb 2.59
S: 0.0000 0.5000 0.6925  2 Nb 2.59
S: 0.5000 0.0000 0.3075  2 Nb 2.59
S: 0.0000 0.5000 0.3075  2 Nb 2.59

Calculated values
Its symmetry is P4/mmm, No. 123. The calculation puts the energy above the most stable polymorph in this dataset at 0.404 eV/atom.

=====

[5]
Below is crystalline KNb4S8 at its relaxed geometry, with properties calculated at the PBE level.

abc: 7.4124 7.4124 7.4124
angles: 60.00 60.00 60.00
With the nearest neighbours (Å) after each atom.
Sites, in units of the cell vectors:
K: 0.7500 0.7500 0.7500  4 S 2.70
Nb: 0.9197 0.3601 0.3601  6 S 2.47-2.59
Nb: 0.3601 0.9197 0.3601  6 S 2.47-2.59
Nb: 0.3601 0.3601 0.9197  6 S 2.47-2.59
Nb: 0.3601 0.3601 0.3601  6 S 2.47-2.59
S: 0.6246 0.1251 0.1251  3 Nb 2.47
S: 0.1251 0.6246 0.1251  3 Nb 2.47
S: 0.1251 0.1251 0.6246  3 Nb 2.47
S: 0.1251 0.1251 0.1251  3 Nb 2.47
S: 0.1959 0.6014 0.6014  3 Nb 2.59, 1 K 2.70
S: 0.6014 0.1959 0.6014  3 Nb 2.59, 1 K 2.70
S: 0.6014 0.6014 0.1959  3 Nb 2.59, 1 K 2.70
S: 0.6014 0.6014 0.6014  3 Nb 2.59, 1 K 2.70

Calculated values
Its symmetry is F-43m, No. 216. The calculation puts the energy above the most stable polymorph in this dataset at 0.164 eV/atom.

=====

[6]
Below is crystalline K3Nb5S12 at its relaxed geometry, with properties calculated at the PBE level.

abc: 13.9411 13.9411 13.9411
angles: 109.47 109.47 109.47
With the nearest neighbours (Å) after each atom.
Sites, in units of the cell vectors:
K: 0.7500 0.3750 0.1250  8 S 3.22-3.37
K: 0.8750 0.7500 0.1250  8 S 3.22-3.37
K: 0.3750 0.7500 0.6250  8 S 3.22-3.37
K: 0.2500 0.1250 0.3750  8 S 3.22-3.37
K: 0.8750 0.1250 0.2500  8 S 3.22-3.37
K: 0.3750 0.6250 0.2500  8 S 3.22-3.37
K: 0.6250 0.3750 0.7500  8 S 3.22-3.37
K: 0.1250 0.8750 0.7500  8 S 3.22-3.37
K: 0.7500 0.8750 0.6250  8 S 3.22-3.37
K: 0.6250 0.2500 0.3750  8 S 3.22-3.37
K: 0.1250 0.2500 0.8750  8 S 3.22-3.37
K: 0.2500 0.6250 0.8750  8 S 3.22-3.37
Nb: 0.1250 0.3750 0.2500  4 S 2.31
Nb: 0.0000 0.5000 0.0000  6 S 2.52
Nb: 0.0000 0.0000 0.0000  6 S 2.52
Nb: 0.3750 0.2500 0.1250  4 S 2.31
Nb: 0.5000 0.0000 0.5000  6 S 2.52
Nb: 0.5000 0.5000 0.0000  6 S 2.52
Nb: 0.1250 0.7500 0.3750  4 S 2.31
Nb: 0.7500 0.1250 0.8750  4 S 2.31
Nb: 0.7500 0.6250 0.3750  4 S 2.31
Nb: 0.3750 0.1250 0.7500  4 S 2.31
Nb: 0.6250 0.8750 0.2500  4 S 2.31
Nb: 0.5000 0.5000 0.5000  6 S 2.52
Nb: 0.5000 0.0000 0.0000  6 S 2.52
Nb: 0.0000 0.0000 0.5000  6 S 2.52
Nb: 0.2500 0.3750 0.6250  4 S 2.31
Nb: 0.2500 0.8750 0.1250  4 S 2.31
Nb: 0.0000 0.5000 0.5000  6 S 2.52
Nb: 0.8750 0.2500 0.6250  4 S 2.31
Nb: 0.6250 0.7500 0.8750  4 S 2.31
Nb: 0.8750 0.6250 0.7500  4 S 2.31
S: 0.6902 0.1062 0.0069  2 Nb 2.31-2.52
S: 0.3167 0.5069 0.4007  2 Nb 2.31-2.52
S: 0.9931 0.3938 0.3098  2 Nb 2.31-2.52
S: 0.5069 0.1902 0.1062  2 Nb 2.31-2.52
S: 0.5840 0.6902 0.6833  2 Nb 2.31-2.52
S: 0.9931 0.5993 0.1833  2 Nb 2.31-2.52
S: 0.3167 0.8098 0.4160  2 Nb 2.31-2.52
S: 0.0993 0.9160 0.1062  2 Nb 2.31-2.52
S: 0.5993 0.9931 0.6833  2 Nb 2.31-2.52
S: 0.6902 0.5840 0.1833  2 Nb 2.31-2.52
S: 0.8098 0.4931 0.3938  2 Nb 2.31-2.52
S: 0.8167 0.9007 0.0069  2 Nb 2.31-2.52
S: 0.1062 0.6902 0.5069  2 Nb 2.31-2.52
S: 0.3938 0.4007 0.0840  2 Nb 2.31-2.52
S: 0.0840 0.9007 0.3938  2 Nb 2.31-2.52
S: 0.4160 0.1062 0.5993  2 Nb 2.31-2.52
S: 0.0840 0.1833 0.1902  2 Nb 2.31-2.52
S: 0.4931 0.6833 0.0993  2 Nb 2.31-2.52
S: 0.8167 0.9160 0.3098  2 Nb 2.31-2.52
S: 0.1062 0.4160 0.0993  2 Nb 2.31-2.52
S: 0.3938 0.9931 0.8098  2 Nb 2.31-2.52
S: 0.5993 0.6062 0.4160  2 Nb 2.31-2.52
S: 0.9007 0.8167 0.5069  2 Nb 2.31-2.52
S: 0.8098 0.3167 0.9160  2 Nb 2.31-2.52
S: 0.4007 0.3938 0.5840  2 Nb 2.31-2.52
S: 0.0993 0.1833 0.4931  2 Nb 2.31-2.52
S: 0.1902 0.6833 0.0840  2 Nb 2.31-2.52
S: 0.1833 0.0840 0.6902  2 Nb 2.31-2.52
S: 0.6062 0.0069 0.1902  2 Nb 2.31-2.52
S: 0.8938 0.5840 0.9007  2 Nb 2.31-2.52
S: 0.5069 0.3167 0.9007  2 Nb 2.31-2.52
S: 0.5840 0.8938 0.4007  2 Nb 2.31-2.52
S: 0.9160 0.8167 0.8098  2 Nb 2.31-2.52
S: 0.9160 0.0993 0.6062  2 Nb 2.31-2.52
S: 0.8938 0.3098 0.4931  2 Nb 2.31-2.52
S: 0.1833 0.0993 0.9931  2 Nb 2.31-2.52
S: 0.6062 0.5993 0.9160  2 Nb 2.31-2.52
S: 0.4007 0.0069 0.3167  2 Nb 2.31-2.52
S: 0.3098 0.4160 0.8167  2 Nb 2.31-2.52
S: 0.1902 0.5069 0.6062  2 Nb 2.31-2.52
S: 0.9007 0.0840 0.8938  2 Nb 2.31-2.52
S: 0.6833 0.1902 0.5840  2 Nb 2.31-2.52
S: 0.4931 0.8098 0.8938  2 Nb 2.31-2.52
S: 0.0069 0.4007 0.8167  2 Nb 2.31-2.52
S: 0.4160 0.3098 0.3167  2 Nb 2.31-2.52
S: 0.0069 0.6062 0.6902  2 Nb 2.31-2.52
S: 0.6833 0.4931 0.5993  2 Nb 2.31-2.52
S: 0.3098 0.8938 0.9931  2 Nb 2.31-2.52

Calculated values
Its symmetry is Ia-3d, No. 230.

=====

[7]
Below is crystalline K3Sc3NbS8 at its relaxed geometry, with properties calculated at the PBE level.

abc: 7.4806 7.4817 8.6374
angles: 115.68 90.00 120.00
With the nearest neighbours (Å) after each atom.
Sites, in units of the cell vectors:
K: 0.0000 0.0000 0.0000  6 S 3.16
K: 0.0000 0.5000 0.0000  6 S 3.16
K: 0.5000 0.5000 0.0000  6 S 3.16
Sc: 0.5000 0.0000 0.5000  6 S 2.59-2.60
Sc: 0.5000 0.5000 0.5000  6 S 2.59-2.60
Sc: 0.0000 0.5000 0.5000  6 S 2.59-2.60
Nb: 0.0000 0.0000 0.5000  6 S 2.54
S: 0.2693 0.5387 0.3081  3 Sc 2.59
S: 0.7307 0.4613 0.6919  3 Sc 2.59
S: 0.7741 0.5483 0.3108  1 Nb 2.54, 2 Sc 2.60
S: 0.2259 0.4517 0.6892  1 Nb 2.54, 2 Sc 2.60
S: 0.7742 0.0365 0.3109  1 Nb 2.54, 2 Sc 2.60
S: 0.2258 0.9635 0.6891  1 Nb 2.54, 2 Sc 2.60
S: 0.2624 0.0366 0.3109  1 Nb 2.54, 2 Sc 2.60
S: 0.7376 0.9634 0.6891  1 Nb 2.54, 2 Sc 2.60

Calculated values
Its symmetry is R-3m, No. 166.

=====

no.,E_form (uncorrected) (meV per atom)
1,-772
2,-1046
3,-1070
4,-479
5,-864
6,-910
7,-1583